(1)
# CoSiTe2S

CoSiTe2S after structural relaxation (GGA-PBE, the Alexandria database).

abc: 5.337 4.383 5.337
angles: 90.00 90.00 90.00
Site moments in Bohr magnetons follow the coordinates.
Element x y z (fractional)
S1 0.000 0.000 0.000  -0.01
Te1 0.000 0.000 0.500  0.07
Te2 0.500 0.000 0.000  0.08
Co1 0.500 0.500 0.500  2.12
Si1 0.000 0.500 0.000  -0.02

Summary:
The value obtained for the electronic total energy is -3.50 eV per atom. The value obtained for the formation energy without anion corrections is 1087.0 meV per atom. The space-group type is P4/mmm.

---

(2)
# Tl2CoSiS4

Tl2CoSiS4 after structural relaxation (GGA-PBE, the Alexandria database).

abc: 5.757 6.997 12.028
angles: 84.35 76.15 65.71
Site moments in Bohr magnetons follow the coordinates.
Element x y z (fractional)
Tl1 0.188 0.000 0.624  0.01
Tl2 0.812 0.000 0.376  0.01
Tl3 0.562 0.500 0.876  0.01
Tl4 0.938 0.500 0.124  0.01
Co1 0.750 0.500 0.500  2.17
Co2 0.000 0.000 0.000  2.17
Si1 0.250 0.500 0.500  0.00
Si2 0.500 0.000 0.000  0.00
S1 0.317 0.807 0.099  0.10
S2 0.223 0.193 0.901  0.10
S3 0.876 0.807 0.901  0.10
S4 0.584 0.193 0.099  0.10
S5 0.433 0.693 0.401  0.10
S6 0.527 0.307 0.599  0.10
S7 0.874 0.693 0.599  0.10
S8 0.166 0.307 0.401  0.10

Summary:
The value obtained for the electronic total energy is -4.64 eV per atom. The value obtained for the formation energy without anion corrections is -417.1 meV per atom. The space-group type is Fddd.

---

(3)
# TlCoSi2S

TlCoSi2S after structural relaxation (GGA-PBE, the Alexandria database).

abc: 4.513 5.596 4.513
angles: 90.00 90.00 90.00
Site moments in Bohr magnetons follow the coordinates.
Element x y z (fractional)
Si1 0.000 0.000 0.500  -0.01
Si2 0.500 0.000 0.000  0.01
Tl1 0.000 0.500 0.000  0.00
Co1 0.500 0.500 0.500  2.00
S1 0.000 0.000 0.000  -0.01

Summary:
The value obtained for the electronic total energy is -3.73 eV per atom. The value obtained for the formation energy without anion corrections is 1158.9 meV per atom. The space-group type is P4/mmm.

---

(4)
# YCoSi2S

YCoSi2S after structural relaxation (GGA-PBE, the Alexandria database).

abc: 4.527 4.527 4.996
angles: 90.00 90.00 90.00
Site moments in Bohr magnetons follow the coordinates.
Element x y z (fractional)
Y1 0.000 0.000 0.500  -0.04
S1 0.000 0.000 0.000  -0.01
Co1 0.500 0.500 0.500  1.78
Si1 0.000 0.500 0.000  0.01
Si2 0.500 0.000 0.000  0.01

Summary:
The value obtained for the electronic total energy is -5.17 eV per atom. The value obtained for the formation energy without anion corrections is 540.4 meV per atom. The space-group type is P4/mmm.

---

(5)
# Co3Sn2S2

Co3Sn2S2 after structural relaxation (GGA-PBE, the Alexandria database).

abc: 5.377 5.377 5.377
angles: 60.07 60.07 60.07
Site moments in Bohr magnetons follow the coordinates.
Element x y z (fractional)
Co1 0.500 0.000 0.000  0.35
Co2 0.000 0.500 0.000  0.35
Co3 0.000 0.000 0.500  0.35
Sn1 0.500 0.500 0.500  -0.01
Sn2 0.000 0.000 0.000  -0.02
S1 0.719 0.719 0.719  0.01
S2 0.281 0.281 0.281  0.01

Summary:
The value obtained for the electronic total energy is -5.72 eV per atom. The value obtained for the formation energy without anion corrections is -347.8 meV per atom. The space-group type is R-3m.

---

(6)
# CoSnS2

CoSnS2 after structural relaxation (GGA-PBE, the Alexandria database).

abc: 8.053 8.053 8.053
angles: 24.22 24.22 24.22
Element x y z (fractional)
S1 0.881 0.881 0.881
S2 0.119 0.119 0.119
Co1 0.500 0.500 0.500
Sn1 0.000 0.000 0.000

Summary:
The value obtained for the electronic total energy is -5.18 eV per atom. The value obtained for the formation energy without anion corrections is -335.9 meV per atom. The space-group type is R-3m.